1.
The following is a DFT calculation (PBE) of crystalline Ti4Co2Mo at its relaxed geometry.

abc: 4.8149 4.8149 7.2379
angles: 113.07 113.07 114.22
Last column: magnetic moment on the atom in μB.
Element x y z (fractional)
Ti 0.3140 0.6860 0.5000  0.19
Ti 0.6860 0.3140 0.5000  0.19
Ti 0.0000 0.5000 0.0000  -0.04
Ti 0.5000 0.0000 0.0000  -0.04
Mo 0.0000 0.0000 0.0000  -0.04
Co 0.2377 0.2377 0.7373  0.34
Co 0.7623 0.7623 0.2627  0.34

Output
- ΔH_f (0 K) (eV/atom) = 0.130
- D(E_F) (states/eV per cell) = 10.18
- crystal system = orthorhombic
- size of the total moment (μB/cell) = 1.0
- ρ (g/cm³) = 6.35
- symmetry = Cmmm, No. 65



2.
The following is a DFT calculation (PBE) of crystalline TaPb2Se at its relaxed geometry.

abc: 5.1507 5.1507 5.1507
angles: 60.00 60.00 60.00
Last column: magnetic moment on the atom in μB.
Element x y z (fractional)
Ta 0.7500 0.7500 0.7500  1.15
Pb 0.2500 0.2500 0.2500  -0.01
Pb 0.0000 0.0000 0.0000  0.03
Se 0.5000 0.5000 0.5000  -0.04

Output
- D(E_F) (states/eV per cell) = 3.74
- crystal system = cubic
- energy relative to the elements, uncorrected (meV/atom) = 622
- size of the total moment (μB/cell) = 1.7
- ρ (g/cm³) = 11.59
- symmetry = F-43m, No. 216